No. 1
Compound: TaAlCuSi2
Source: Alexandria via LeMat-Bulk
Functional: GGA-PBE
Structure: optimized geometry

Output
Theoretical density in g cm⁻³: 6.3
ΔE_f (raw) in meV per atom: 895

a = 4.413 Å, b = 4.418 Å, c = 4.413 Å
α = 90.00°, β = 90.00°, γ = 90.00°
Sites, in units of the cell vectors:
Si 0.000 0.000 0.500
Si 0.500 0.000 0.000
Al 0.000 0.500 0.000
Cu 0.000 0.000 0.000
Ta 0.500 0.500 0.500

---

No. 2
Compound: ZrCrMoRh2
Source: Alexandria via LeMat-Bulk
Functional: GGA-PBE
Structure: optimized geometry

Output
Energy of formation in meV/atom: 493.1
Theoretical density in g cm⁻³: 8.3

a = 4.488 Å, b = 4.440 Å, c = 4.488 Å
α = 90.00°, β = 90.00°, γ = 90.00°
Sites, in units of the cell vectors:
Cr 0.000 0.000 0.000
Mo 0.000 0.500 0.000
Rh 0.000 0.000 0.500
Rh 0.500 0.000 0.000
Zr 0.500 0.500 0.500

---

No. 3
Compound: TcAg3I2F6
Source: Alexandria via LeMat-Bulk
Functional: GGA-PBE
Structure: optimized geometry

Output
Theoretical density in g cm⁻³: 5.0
ΔE_f (raw) in meV per atom: -1316

a = 5.174 Å, b = 7.257 Å, c = 7.885 Å
α = 117.40°, β = 93.62°, γ = 90.00°
Each line ends with the local moment (μB).
Sites, in units of the cell vectors:
Tc 0.500 0.000 0.000  1.75
Ag 0.000 0.500 0.000  -0.02
Ag 0.500 0.500 0.500  -0.03
Ag 0.500 0.000 0.500  -0.03
I 0.133 0.692 0.383  -0.03
I 0.867 0.308 0.617  -0.03
F 0.711 0.252 0.123  0.05
F 0.289 0.748 0.877  0.05
F 0.701 0.890 0.780  0.04
F 0.299 0.110 0.220  0.04
F 0.289 0.128 0.877  0.05
F 0.711 0.872 0.123  0.05